A relaxed structure of BaMg3Rh, computed with PBE-GGA.

Results
Spin magnetization   0.00 Bohr magnetons per cell
VASP energy   -3.09 eV per atom
DFT formation energy   -0.279 eV/atom

Cell lengths 5.1459, 5.1459, 5.1459 Å; angles 90.00, 90.00, 90.00 degrees
With the nearest neighbours (Å) after each atom.
Space group Pm-3m (No. 221)
Asymmetric unit:
Ba1 0.0000 0.0000 0.0000 (multiplicity 1)  12 Mg 3.64
Mg1 0.0000 0.5000 0.5000 (multiplicity 3)  2 Rh 2.57
Rh1 0.5000 0.5000 0.5000 (multiplicity 1)  6 Mg 2.57

=====

A relaxed structure of SrBeFeW2, computed with PBE-GGA.

Results
Spin magnetization   2.25 Bohr magnetons per cell
VASP energy   -4.40 eV per atom
DFT formation energy   3.551 eV/atom

Cell lengths 4.8656, 4.8656, 4.5136 Å; angles 90.00, 90.00, 90.00 degrees
With the nearest neighbours (Å) after each atom.
Space group P4/mmm (No. 123)
Asymmetric unit:
Sr1 0.0000 0.0000 0.0000 (multiplicity 1)  2 Fe 2.26, 4 W 2.43
Be1 0.5000 0.5000 0.5000 (multiplicity 1)  8 W 3.32, 4 Fe 3.44
Fe1 0.0000 0.0000 0.5000 (multiplicity 1)  2 Sr 2.26
W1 0.0000 0.5000 0.0000 (multiplicity 2)  2 Sr 2.43